Entry 1:
## Hf2TiRh (PBE)

Data for an optimized crystal structure of Hf2TiRh.

a = 3.280 Å, b = 3.280 Å, c = 6.876 Å
α = 90.00°, β = 90.00°, γ = 90.00°
Space group P4/mmm (No. 123)
One atom of each set of equivalent atoms:
Hf  0.000  0.000  0.235 [2 per cell]
Ti  0.500  0.500  0.500 [1 per cell]
Rh  0.500  0.500  0.000 [1 per cell]

## Properties
- total energy (eV per atom) = -9.2371


Entry 2:
## HfTi2Rh3 (PBE)

Data for an optimized crystal structure of HfTi2Rh3.

a = 3.067 Å, b = 3.067 Å, c = 10.071 Å
α = 90.00°, β = 90.00°, γ = 90.00°
Space group P4/mmm (No. 123)
One atom of each set of equivalent atoms:
Hf  0.000  0.000  0.000 [1 per cell]
Ti  0.000  0.000  0.341 [2 per cell]
Rh  0.500  0.500  0.191 [2 per cell]
Rh  0.500  0.500  0.500 [1 per cell]

## Properties
- total energy (eV per atom) = -8.7403


Entry 3:
## Hf3Ti2Rh3 (PBE)

Data for an optimized crystal structure of Hf3Ti2Rh3.

a = 3.331 Å, b = 4.479 Å, c = 18.552 Å
α = 90.00°, β = 90.00°, γ = 90.00°
Space group Immm (No. 71)
One atom of each set of equivalent atoms:
Hf  0.000  0.000  0.000 [2 per cell]
Hf  0.000  0.500  0.125 [4 per cell]
Ti  0.000  0.000  0.243 [4 per cell]
Rh  0.000  0.000  0.500 [2 per cell]
Rh  0.000  0.500  0.378 [4 per cell]

## Properties
- total energy (eV per atom) = -9.1369


Calculated volume, 18.49; 15.78; 17.30 Å³/atom (same order as the records).
Calculated total magnetic moment, 0.000; 0.000; 0.304 μB/f.u. (same order as the records).